# SmGa5Cu2, optimized geometry, DFT PBE
data_SmGa5Cu2
_chemical_formula_sum 'Sm1 Ga5 Cu2'
_space_group_name_H-M_alt 'P 1'
_space_group_IT_number 1
_cell_length_a 6.384
_cell_length_b 6.384
_cell_length_c 6.384
_cell_angle_alpha 143.33
_cell_angle_beta 112.26
_cell_angle_gamma 79.58
loop_
_space_group_symop_operation_xyz
'x,y,z'
loop_
_atom_site_label
_atom_site_type_symbol
_atom_site_fract_x
_atom_site_fract_y
_atom_site_fract_z
Sm1 Sm 0.000 0.000 0.000
Ga1 Ga 0.161 0.353 0.808
Ga2 Ga 0.455 0.647 0.808
Ga3 Ga 0.500 0.000 0.500
Ga4 Ga 0.545 0.353 0.192
Ga5 Ga 0.839 0.647 0.192
Cu1 Cu 0.251 0.751 0.500
Cu2 Cu 0.749 0.249 0.500
# * final energy: -3.8104 eV/atom
# * total moment: 0.0 Bohr magnetons per cell
# * space-group type: Immm (71)
# * energy relative to the elements: -305 meV/atom